TaPb2Cl: optimized geometry, PBE-GGA.

The structure belongs to space group F-43m (No. 216); the cell edges are 7.335, 7.335 and 7.335 Å and the angles 90.00°, 90.00° and 90.00°. The asymmetric unit holds Ta at (0.000, 0.000, 0.000), Pb at (0.000, 0.000, 0.500), Pb at (0.250, 0.250, 0.750) and Cl at (0.250, 0.250, 0.250).

The value obtained for the total energy is -4.66 eV per atom. For the excess energy over the best structure of this formula in the dataset, the calculation gives 529 meV/atom. For the raw formation energy, the calculation gives 0.616 eV/atom.


TaPb2Cl: optimized geometry, PBE-GGA.

The structure belongs to space group Fm-3m (No. 225); the cell edges are 7.378, 7.378 and 7.378 Å and the angles 90.00°, 90.00° and 90.00°. The asymmetric unit holds Ta at (0.000, 0.000, 0.000), Pb at (0.250, 0.250, 0.250) and Cl at (0.000, 0.000, 0.500).

The value obtained for the total energy is -4.53 eV per atom. For the excess energy over the best structure of this formula in the dataset, the calculation gives 663 meV/atom. For the raw formation energy, the calculation gives 0.750 eV/atom.


TaPbCl3: optimized geometry, PBE-GGA.

The structure belongs to space group Pm-3m (No. 221); the cell edges are 4.932, 4.932 and 4.932 Å and the angles 90.00°, 90.00° and 90.00°. The asymmetric unit holds Ta at (0.000, 0.000, 0.000), Pb at (0.500, 0.500, 0.500) and Cl at (0.000, 0.000, 0.500).

The value obtained for the total energy is -4.41 eV per atom. For the excess energy over the best structure of this formula in the dataset, the calculation gives 0 meV/atom. For the raw formation energy, the calculation gives -0.194 eV/atom.


TaPb2Cl: optimized geometry, PBE-GGA.

The structure belongs to space group Pmmm (No. 47); the cell edges are 3.206, 4.763 and 6.168 Å and the angles 90.00°, 90.00° and 90.00°. The asymmetric unit holds Ta at (0.000, 0.000, 0.000), Pb at (0.500, 0.500, 0.245) and Cl at (0.000, 0.000, 0.500).

The value obtained for the total energy is -4.92 eV per atom. For the excess energy over the best structure of this formula in the dataset, the calculation gives 275 meV/atom. For the raw formation energy, the calculation gives 0.362 eV/atom.


TaPb2Cl: optimized geometry, PBE-GGA.

The structure belongs to space group Pmmm (No. 47); the cell edges are 3.201, 5.136 and 6.224 Å and the angles 90.00°, 90.00° and 90.00°. The asymmetric unit holds Ta at (0.000, 0.000, 0.000), Pb at (0.000, 0.500, 0.500), Pb at (0.500, 0.500, 0.000) and Cl at (0.500, 0.000, 0.500).

The value obtained for the total energy is -4.72 eV per atom. For the excess energy over the best structure of this formula in the dataset, the calculation gives 475 meV/atom. For the raw formation energy, the calculation gives 0.562 eV/atom.


Ta4PbCl: optimized geometry, PBE-GGA.

The structure belongs to space group F-43m (No. 216); the cell edges are 7.972, 7.972 and 7.972 Å and the angles 90.00°, 90.00° and 90.00°. The asymmetric unit holds Ta at (0.125, 0.125, 0.125), Pb at (0.000, 0.000, 0.500) and Cl at (0.250, 0.250, 0.750).

The value obtained for the total energy is -8.03 eV per atom. For the raw formation energy, the calculation gives 0.798 eV/atom.